ThGaSbRh3: relaxed, PBE-GGA. Values from VASP.

```
&SYSTEM
  ibrav = 0, nat = 12, ntyp = 4
/
ATOMIC_SPECIES
Th 232.04 Th.upf
Ga 69.72 Ga.upf
Sb 121.76 Sb.upf
Rh 102.91 Rh.upf
ATOMIC_POSITIONS angstrom
Th -2.8896 -5.4208 1.7539
Th 0.8850 -3.8056 -0.7909
Ga 1.7064 -5.8207 1.4753
Ga -3.7109 -3.4058 -0.5122
Sb -0.1450 -3.8141 2.8419
Sb -1.8595 -5.4123 -1.8789
Rh -0.8073 -2.1893 1.0147
Rh 0.8703 -0.7946 -1.0220
Rh -0.1992 -4.1205 -3.5918
Rh -1.7509 -2.7039 -1.7697
Rh 2.4220 -2.2113 -2.8441
Rh -1.1972 -7.0371 -0.0516
CELL_PARAMETERS angstrom
-5.2424 -3.8185 -1.4954
3.2923 -3.0058 -3.8661
-0.0544 -2.4021 6.3246
```

Calculated values
E_form (uncorrected)	-53.1	kJ per mole of atoms
space-group type	Cmcm

---

La3Tb8Sc: relaxed, PBE-GGA. Values from VASP.

```
&SYSTEM
  ibrav = 0, nat = 12, ntyp = 3
/
ATOMIC_SPECIES
La 138.91 La.upf
Tb 158.93 Tb.upf
Sc 44.96 Sc.upf
ATOMIC_POSITIONS angstrom
La -3.1044 -3.4699 -2.3786
La -0.8811 -3.8583 3.4165
La 1.5626 -5.3505 -0.9581
Tb -2.6699 -0.6481 0.9809
Tb -1.4762 -6.1302 0.1555
Tb 0.4574 -5.4184 -4.0976
Tb 2.8286 -5.8326 2.0829
Tb -0.6257 -3.0556 0.0353
Tb -4.9866 1.2973 2.0000
Tb 2.9270 -8.2317 -0.0206
Tb 1.8250 -8.0392 -2.8930
Sc 0.0000 0.0000 0.0000
CELL_PARAMETERS angstrom
-7.1108 3.3727 2.9541
-0.6607 -4.9621 -6.7533
3.7860 -5.7389 4.8370
```

Calculated values
energy of formation from the pure elements	0.55	eV/atom
space-group type	I-42m

---

Tb3Y5Ho3: relaxed, PBE-GGA. Values from VASP.

```
&SYSTEM
  ibrav = 0, nat = 11, ntyp = 3
/
ATOMIC_SPECIES
Tb 158.93 Tb.upf
Y 88.91 Y.upf
Ho 164.93 Ho.upf
ATOMIC_POSITIONS angstrom
Tb 0.0000 2.1807 3.7770
Tb 0.0000 5.2935 0.0000
Tb 0.0000 -2.6468 4.5843
Y 2.7540 0.0000 5.5742
Y 2.7540 4.8274 2.7871
Y 2.7540 1.2545 2.1728
Y 2.7540 -3.5730 6.1885
Y 2.7540 7.1459 0.0000
Ho 2.7540 3.0156 5.2231
Ho 2.7540 -1.8119 3.1382
Ho 2.7540 3.6237 0.0000
CELL_PARAMETERS angstrom
5.5080 0.0000 0.0000
0.0000 9.6549 0.0000
0.0000 -4.8274 8.3614
```

Calculated values
energy of formation from the pure elements	0.82	eV/atom
space-group type	P-62m

---

HfH2Ir2: relaxed, PBE-GGA. Values from VASP.

```
&SYSTEM
  ibrav = 0, nat = 5, ntyp = 3
/
ATOMIC_SPECIES
H 1.01 H.upf
Ir 192.22 Ir.upf
Hf 178.49 Hf.upf
ATOMIC_POSITIONS angstrom
H 3.5422 1.7711 2.2262
H 1.7711 3.5422 2.2262
Ir 1.7711 1.7711 1.3557
Ir 3.5422 3.5422 3.0967
Hf 0.0000 0.0000 0.0000
CELL_PARAMETERS angstrom
3.5422 0.0000 0.0000
0.0000 3.5422 0.0000
1.7711 1.7711 4.4524
```

Calculated values
ΔE to the lowest computed polymorph	0.019	eV per atom
space-group type	I4/mmm

---

Repeat the third record exactly.
Tb3Y5Ho3: relaxed, PBE-GGA. Values from VASP.

```
&SYSTEM
  ibrav = 0, nat = 11, ntyp = 3
/
ATOMIC_SPECIES
Tb 158.93 Tb.upf
Y 88.91 Y.upf
Ho 164.93 Ho.upf
ATOMIC_POSITIONS angstrom
Tb 0.0000 2.1807 3.7770
Tb 0.0000 5.2935 0.0000
Tb 0.0000 -2.6468 4.5843
Y 2.7540 0.0000 5.5742
Y 2.7540 4.8274 2.7871
Y 2.7540 1.2545 2.1728
Y 2.7540 -3.5730 6.1885
Y 2.7540 7.1459 0.0000
Ho 2.7540 3.0156 5.2231
Ho 2.7540 -1.8119 3.1382
Ho 2.7540 3.6237 0.0000
CELL_PARAMETERS angstrom
5.5080 0.0000 0.0000
0.0000 9.6549 0.0000
0.0000 -4.8274 8.3614
```

Calculated values
energy of formation from the pure elements	0.82	eV/atom
space-group type	P-62m

---

Copy entry 2 word for word.
La3Tb8Sc: relaxed, PBE-GGA. Values from VASP.

```
&SYSTEM
  ibrav = 0, nat = 12, ntyp = 3
/
ATOMIC_SPECIES
La 138.91 La.upf
Tb 158.93 Tb.upf
Sc 44.96 Sc.upf
ATOMIC_POSITIONS angstrom
La -3.1044 -3.4699 -2.3786
La -0.8811 -3.8583 3.4165
La 1.5626 -5.3505 -0.9581
Tb -2.6699 -0.6481 0.9809
Tb -1.4762 -6.1302 0.1555
Tb 0.4574 -5.4184 -4.0976
Tb 2.8286 -5.8326 2.0829
Tb -0.6257 -3.0556 0.0353
Tb -4.9866 1.2973 2.0000
Tb 2.9270 -8.2317 -0.0206
Tb 1.8250 -8.0392 -2.8930
Sc 0.0000 0.0000 0.0000
CELL_PARAMETERS angstrom
-7.1108 3.3727 2.9541
-0.6607 -4.9621 -6.7533
3.7860 -5.7389 4.8370
```

Calculated values
energy of formation from the pure elements	0.55	eV/atom
space-group type	I-42m

---

> Number 3 is which compound?

Tb3Y5Ho3